No. 1
DFT (PBE) results for a relaxed structure of GaWIN2.

a b c (Å): 4.030 4.030 5.764
angles (deg): 90.00 90.00 90.00
Atoms (fractional coordinates):
Ga (0.000, 0.000, 0.000)
W (0.500, 0.500, 0.500)
I (0.500, 0.500, 0.000)
N (0.000, 0.500, 0.500)
N (0.500, 0.000, 0.500)

Properties
Energy relative to the lowest polymorph listed for this composition   0 meV/atom
Formation energy without anion corrections   0.53 eV/atom

No. 2
DFT (PBE) results for a relaxed structure of BaAg2Te2Se6.

a b c (Å): 7.079 7.227 7.434
angles (deg): 63.39 77.99 68.42
Atoms (fractional coordinates):
Ba (0.000, 0.000, 0.000)
Ag (0.497, 0.859, 0.302)
Ag (0.503, 0.141, 0.698)
Te (0.026, 0.657, 0.662)
Te (0.974, 0.343, 0.338)
Se (0.246, 0.558, 0.369)
Se (0.259, 0.928, 0.603)
Se (0.275, 0.297, 0.957)
Se (0.725, 0.703, 0.043)
Se (0.741, 0.072, 0.397)
Se (0.754, 0.442, 0.631)

Properties
Formation energy without anion corrections   -0.37 eV/atom

| no. | VASP energy (eV per cell) |
| --- | --- |
| 1 | -31.52 |
| 2 | -38.87 |